No. 1
DFT (GGA-PBEsol) results for As2Pd2Pb after structural relaxation.

Structure (POSCAR):
```
As2Pd2Pb
1.0
4.3932 0.0000 0.0000
0.0000 4.3932 0.0000
-2.1966 -2.1966 5.0077
As Pb Pd
2 1 2
Direct
0.6265 0.6265 0.2530
0.3735 0.3735 0.7470
0.0000 0.0000 0.0000
0.7500 0.2500 0.5000
0.2500 0.7500 0.5000
```

## Properties
Total energy in Ry/atom: -0.4019
DOS(E_F) in states/eV/atom: 0.44
M_tot in μB per atom: 0.000

---

No. 2
DFT (GGA-PBEsol) results for MgCo2Ni after structural relaxation.

Structure (POSCAR):
```
MgCo2Ni
1.0
2.5760 0.0000 0.0000
1.2880 2.2309 0.0000
1.2880 0.7436 8.2423
Co Mg Ni
2 1 1
Direct
0.7447 0.7447 0.7659
0.2553 0.2553 0.2341
0.5000 0.5000 0.5000
0.0000 0.0000 0.0000
```

## Properties
Total energy in Ry/atom: -0.4095
DOS(E_F) in states/eV/atom: 1.16
M_tot in μB per atom: 0.845

---

Question: Look up the DOS(E_F) of the second one.
Answer: 1.16 states/eV/atom

---

Question: What is the DOS(E_F) in the first record?
Answer: 0.44 states/eV/atom

---

Question: Which of these has the lowest M_tot?
Answer: As2Pd2Pb

---

Question: total energy of number 1 (As2Pd2Pb)?
Answer: -0.4019 Ry/atom